{"formula": "Co4Ni15Pt", "functional": "PBE", "state": "relaxed", "cell": [[3.561, 0.000, 0.000], [0.000, 3.561, 0.000], [0.000, 0.000, 17.616]], "species": ["Co", "Co", "Co", "Co", "Ni", "Ni", "Ni", "Ni", "Ni", "Ni", "Ni", "Ni", "Ni", "Ni", "Ni", "Ni", "Ni", "Ni", "Ni", "Pt"], "frac_coords": [[0.000, 0.000, 0.098], [0.000, 0.000, 0.296], [0.000, 0.000, 0.704], [0.000, 0.000, 0.902], [0.000, 0.500, 0.000], [0.000, 0.500, 0.196], [0.000, 0.500, 0.393], [0.000, 0.500, 0.607], [0.000, 0.500, 0.804], [0.500, 0.000, 0.000], [0.500, 0.000, 0.196], [0.500, 0.000, 0.393], [0.500, 0.000, 0.607], [0.500, 0.000, 0.804], [0.500, 0.500, 0.098], [0.500, 0.500, 0.295], [0.500, 0.500, 0.500], [0.500, 0.500, 0.705], [0.500, 0.500, 0.902], [0.000, 0.000, 0.500]], "ef_ev_per_atom": 0.00, "sg": "P4/mmm", "vol_a3_per_atom": 11.17}